1.
First-principles (PBE-GGA) data for a relaxed structure of ZrGa2AgRu, as listed in Alexandria.

Properties
calculated density: 5.38 g cm⁻³
E_form: 0.9976 eV per atom
volume: 27.13 Å³/atom
density of states at the Fermi level: 5.52 states/eV per cell

POSCAR file:
```
ZrGa2AgRu
1.0
-4.093 -3.330 -0.862
2.097 -1.353 -4.728
2.421 -3.514 2.080
Ga Ru Ag Zr
2 1 1 1
direct
0.500 0.000 0.000
0.000 0.500 0.000
0.000 0.000 0.500
0.500 0.500 0.500
0.000 0.000 0.000
```

=====

2.
First-principles (PBE-GGA) data for a relaxed structure of Ga6AgS8, as listed in Alexandria.

Properties
calculated density: 3.77 g cm⁻³
volume: 23.01 Å³/atom
density of states at the Fermi level: 7.57 states/eV per cell
energy relative to the elements, uncorrected: -0.29 eV/atom

POSCAR file:
```
Ga6AgS8
1.0
-5.327 2.348 3.991
-2.931 -6.222 -1.584
3.957 -2.368 5.343
S Ga Ag
8 6 1
direct
0.841 0.314 0.605
0.605 0.841 0.314
0.221 0.221 0.221
0.686 0.395 0.159
0.779 0.779 0.779
0.395 0.159 0.686
0.159 0.686 0.395
0.314 0.605 0.841
0.163 0.365 0.543
0.365 0.543 0.163
0.837 0.635 0.457
0.457 0.837 0.635
0.635 0.457 0.837
0.543 0.163 0.365
0.000 0.000 0.000
```

=====

3.
First-principles (PBE-GGA) data for a relaxed structure of GaAgS2, as listed in Alexandria.

Properties
calculated density: 4.54 g cm⁻³
volume: 22.09 Å³/atom
density of states at the Fermi level: 0.00 states/eV per cell
energy relative to the elements, uncorrected: -0.51 eV/atom

POSCAR file:
```
GaAgS2
1.0
5.777 0.000 0.000
0.000 5.777 0.000
2.889 2.889 5.296
Ag S Ga
2 4 2
direct
0.000 0.000 0.000
0.750 0.250 0.500
0.588 0.125 0.250
0.375 0.412 0.750
0.162 0.625 0.250
0.875 0.838 0.750
0.500 0.500 0.000
0.250 0.750 0.500
```

=====

4.
First-principles (PBE-GGA) data for a relaxed structure of GaAg2S3, as listed in Alexandria.

Properties
calculated density: 4.70 g cm⁻³
volume: 22.47 Å³/atom
density of states at the Fermi level: 3.68 states/eV per cell
energy relative to the elements, uncorrected: -0.28 eV/atom

POSCAR file:
```
GaAg2S3
1.0
-3.466 -1.112 -1.017
1.880 -5.689 -0.187
-0.671 2.728 6.331
S Ag Ga
3 2 1
direct
0.341 0.319 0.682
0.000 0.032 0.000
0.659 0.637 0.318
0.164 0.910 0.329
0.836 0.581 0.671
0.500 0.264 0.000
```

=====

- Which of these has the highest volume?
  ZrGa2AgRu

=====

- Which of these has the highest density of states at the Fermi level?
  Ga6AgS8

=====

- Number 4 is which compound?
  GaAg2S3

=====

Repeat the third record exactly.
First-principles (PBE-GGA) data for a relaxed structure of GaAgS2, as listed in Alexandria.

Properties
calculated density: 4.54 g cm⁻³
volume: 22.09 Å³/atom
density of states at the Fermi level: 0.00 states/eV per cell
energy relative to the elements, uncorrected: -0.51 eV/atom

POSCAR file:
```
GaAgS2
1.0
5.777 0.000 0.000
0.000 5.777 0.000
2.889 2.889 5.296
Ag S Ga
2 4 2
direct
0.000 0.000 0.000
0.750 0.250 0.500
0.588 0.125 0.250
0.375 0.412 0.750
0.162 0.625 0.250
0.875 0.838 0.750
0.500 0.500 0.000
0.250 0.750 0.500
```